Crystalline Ac2TmHg2 at its relaxed geometry, computed with PBE-GGA.

- crystal system = orthorhombic
- M_tot (μB/atom) = 0.000
- formation enthalpy at 0 K (eV per atom) = -0.3311
- final energy (eV/atom) = -2.990

Lattice parameters (Å, degrees): 4.136 7.504 10.794 90.00 90.00 90.00
Space group Immm (No. 71)
Symmetry-distinct sites (fractional):
Ac (0.000, 0.000, 0.210)
Tm (0.000, 0.500, 0.000)
Hg (0.000, 0.290, 0.500)